(1)
The following is a DFT calculation (PBE) of a geometry-optimized FeBr3 structure.

```
FeBr3
1.0
9.376 0.000 0.000
-4.688 8.120 0.000
0.000 0.000 3.319
Br Fe
6 2
Cartesian
6.387 1.726 2.489
2.989 1.726 2.489
1.699 6.394 0.830
0.000 3.451 0.830
-1.699 6.394 0.830
4.688 4.669 2.489
0.000 5.413 2.489
4.688 2.707 0.830
```

Symmetry = P6_3/mmc
Total moment = 1.1752 μB/atom


(2)
The following is a DFT calculation (PBE) of a geometry-optimized LiGaCoRe structure.

```
LiGaCoRe
1.0
0.000 2.918 2.918
2.918 0.000 2.918
2.918 2.918 0.000
Co Re Ga Li
1 1 1 1
Cartesian
4.377 4.377 4.377
2.918 2.918 2.918
0.000 0.000 0.000
1.459 1.459 1.459
```

E above lowest polymorph = 0.000 eV/atom
Symmetry = F-43m
Total moment = 0.5034 μB/atom


(3)
The following is a DFT calculation (PBE) of a geometry-optimized ErUTc structure.

```
ErUTc
1.0
-3.266 1.015 3.087
-4.375 -1.207 -0.794
-1.950 -3.358 2.480
Er Tc U
1 1 1
Cartesian
-2.398 -0.888 1.193
-7.193 -2.663 3.580
0.000 0.000 0.000
```

ΔH_f (0 K) = 0.98 eV/atom
E above lowest polymorph = 0.000 eV/atom
Symmetry = F-43m
Total moment = 0.4466 μB/atom


(4)
The following is a DFT calculation (PBE) of a geometry-optimized DyErAl2Ir4 structure.

```
DyErAl2Ir4
1.0
4.288 0.000 0.000
-2.144 3.713 0.000
0.000 0.000 9.122
Dy Ir Er Al
1 4 1 2
Cartesian
0.000 0.000 0.000
2.144 1.238 7.593
0.000 0.000 3.066
0.000 0.000 6.057
2.144 1.238 1.529
2.144 1.238 4.561
0.000 2.476 2.288
0.000 2.476 6.834
```

Symmetry = P-6m2
Total moment = 0.0043 μB/atom


(5)
The following is a DFT calculation (PBE) of a geometry-optimized NdZnInTe3 structure.

```
NdZnInTe3
1.0
8.871 0.000 0.000
0.000 4.408 0.000
-3.280 0.000 10.641
Te In Zn Nd
6 2 2 2
Cartesian
-0.727 1.102 3.609
1.844 3.306 0.546
1.779 3.306 6.947
3.747 1.102 10.095
3.812 1.102 3.694
6.318 3.306 7.032
-0.288 1.102 8.439
5.879 3.306 2.202
5.254 3.306 9.473
0.337 1.102 1.167
4.058 1.102 6.830
1.533 3.306 3.811
```

E above lowest polymorph = 0.026 eV/atom
Symmetry = P2_1/m
Total moment = 0.0007 μB/atom


(6)
The following is a DFT calculation (PBE) of a geometry-optimized YCoSbMo structure.

```
YCoSbMo
1.0
-3.587 0.837 3.060
-4.505 0.256 -1.603
-3.115 -3.482 1.048
Co Y Mo Sb
1 1 1 1
Cartesian
-8.405 -1.792 1.878
-2.802 -0.597 0.626
-5.603 -1.195 1.252
0.000 0.000 0.000
```

E above lowest polymorph = 0.314 eV/atom
Symmetry = F-43m
Total moment = 1.0377 μB/atom


(7)
The following is a DFT calculation (PBE) of a geometry-optimized LuTaCo structure.

```
LuTaCo
1.0
1.705 -4.024 0.253
0.720 -1.830 3.911
-2.481 -3.348 1.340
Co Ta Lu
1 1 1
Cartesian
-0.014 -2.300 1.376
0.000 0.000 0.000
-0.043 -6.901 4.128
```

ΔH_f (0 K) = 0.88 eV/atom
Symmetry = F-43m
Total moment = 0.0022 μB/atom


(8)
The following is a DFT calculation (PBE) of a geometry-optimized Dy3Er2Tm2Ni2Te2 structure.

```
Dy3Er2Tm2Ni2Te2
1.0
5.307 0.063 7.603
1.421 6.516 -6.442
-4.100 -3.932 7.328
Tm Er Ni Dy Te
2 2 2 3 2
Cartesian
2.220 0.318 5.784
2.542 -0.712 9.760
-1.507 -0.658 5.619
2.946 2.141 2.664
0.078 3.877 -2.811
0.652 2.038 4.285
0.630 -0.320 2.838
1.390 -2.755 12.234
-0.120 2.484 0.653
6.162 6.025 1.063
0.730 -1.811 7.487
```

E above lowest polymorph = 0.009 eV/atom
Symmetry = Imm2
Total moment = 0.0006 μB/atom


We obtain raw total energy values of -0.268 -0.441 -0.570 -0.531 -0.279 -0.490 -0.511 -0.379 Ry per atom for the records listed above, in that order.